# La4In12Co | Alexandria | PBE | relaxed
data_La4In12Co
_chemical_formula_sum 'La8 In24 Co2'
_symmetry_space_group_name_H-M 'I m -3 m'
_symmetry_Int_Tables_number 229
_symmetry_space_group_name_Hall '-I 4 2 3'
_cell_length_a 9.577
_cell_length_b 9.577
_cell_length_c 9.577
_cell_angle_alpha 90.00
_cell_angle_beta 90.00
_cell_angle_gamma 90.00
loop_
_atom_site_label
_atom_site_fract_x
_atom_site_fract_y
_atom_site_fract_z
La1 0.250 0.250 0.250
In1 0.000 0.000 0.273
In2 0.000 0.250 0.500
Co1 0.000 0.000 0.000
# density of states at the Fermi level	0.5305	states/eV/atom
# theoretical density	7.5	Mg/m³
# formation energy from the elements	-0.441	eV/atom

# Y2NiW | Alexandria | PBE | relaxed
data_Y2NiW
_chemical_formula_sum 'Y4 Ni2 W2'
_symmetry_space_group_name_H-M 'I m m 2'
_symmetry_Int_Tables_number 44
_cell_length_a 3.281
_cell_length_b 4.902
_cell_length_c 10.717
_cell_angle_alpha 90.00
_cell_angle_beta 90.00
_cell_angle_gamma 90.00
loop_
_symmetry_equiv_pos_as_xyz
'x,y,z'
'-x,-y,z'
'-x,y,z'
'x,-y,z'
'x+1/2,y+1/2,z+1/2'
'-x+1/2,-y+1/2,z+1/2'
'-x+1/2,y+1/2,z+1/2'
'x+1/2,-y+1/2,z+1/2'
loop_
_atom_site_label
_atom_site_fract_x
_atom_site_fract_y
_atom_site_fract_z
Y1 0.000 0.000 0.000
Y2 0.000 0.500 0.206
Ni1 0.000 0.500 0.758
W1 0.000 0.000 0.421
# polymorph energy (0 for the lowest one)	75	meV/atom
# density of states at the Fermi level	1.2249	states/eV/atom
# theoretical density	8.1	Mg/m³
# formation energy from the elements	0.207	eV/atom

# Ni2Sb | Alexandria | PBE | relaxed
data_Ni2Sb
_chemical_formula_sum 'Ni4 Sb2'
_symmetry_space_group_name_H-M 'P n n m'
_symmetry_Int_Tables_number 58
_cell_length_a 3.006
_cell_length_b 7.172
_cell_length_c 4.180
_cell_angle_alpha 90.00
_cell_angle_beta 90.00
_cell_angle_gamma 90.00
loop_
_symmetry_equiv_pos_as_xyz
'x,y,z'
'-x,-y,-z'
'-x,-y,z'
'x,y,-z'
'x+1/2,-y+1/2,-z+1/2'
'-x+1/2,y+1/2,z+1/2'
'-x+1/2,y+1/2,-z+1/2'
'x+1/2,-y+1/2,z+1/2'
loop_
_atom_site_label
_atom_site_fract_x
_atom_site_fract_y
_atom_site_fract_z
Ni1 0.229 0.169 0.000
Sb1 0.000 0.000 0.500
# VASP energy	-5.179	eV per atom
# density of states at the Fermi level	0.5945	states/eV/atom
# theoretical density	8.8	Mg/m³

# FeNiRu2 | Alexandria | PBE | relaxed
data_FeNiRu2
_chemical_formula_sum 'Fe2 Ni2 Ru4'
_symmetry_space_group_name_H-M 'C m m m'
_symmetry_Int_Tables_number 65
_symmetry_space_group_name_Hall '-C 2 2'
_cell_length_a 2.830
_cell_length_b 4.355
_cell_length_c 8.487
_cell_angle_alpha 90.00
_cell_angle_beta 90.00
_cell_angle_gamma 90.00
loop_
_atom_site_label
_atom_site_fract_x
_atom_site_fract_y
_atom_site_fract_z
Fe1 0.000 0.000 0.000
Ni1 0.000 0.000 0.500
Ru1 0.000 0.500 0.250
# density of states at the Fermi level	1.4610	states/eV/atom
# theoretical density	10.1	Mg/m³
# formation energy from the elements	0.306	eV/atom

# Rb2BeGa | Alexandria | PBE | relaxed
data_Rb2BeGa
_chemical_formula_sum 'Rb8 Be4 Ga4'
_symmetry_space_group_name_H-M 'I -4 2 d'
_symmetry_Int_Tables_number 122
_symmetry_space_group_name_Hall 'I -4 2bw'
_cell_length_a 13.256
_cell_length_b 13.256
_cell_length_c 4.373
_cell_angle_alpha 90.00
_cell_angle_beta 90.00
_cell_angle_gamma 90.00
loop_
_atom_site_label
_atom_site_fract_x
_atom_site_fract_y
_atom_site_fract_z
Rb1 0.054 0.250 0.125
Be1 0.000 0.000 0.000
Ga1 0.000 0.000 0.500
# polymorph energy (0 for the lowest one)	0	meV/atom
# density of states at the Fermi level	0.6001	states/eV/atom
# theoretical density	2.2	Mg/m³
# formation energy from the elements	0.300	eV/atom

# LaPuHg5 | Alexandria | PBE | relaxed
data_LaPuHg5
_chemical_formula_sum 'La1 Pu1 Hg5'
_symmetry_space_group_name_H-M 'P m m m'
_symmetry_Int_Tables_number 47
_cell_length_a 4.402
_cell_length_b 5.150
_cell_length_c 8.782
_cell_angle_alpha 90.00
_cell_angle_beta 90.00
_cell_angle_gamma 90.00
loop_
_symmetry_equiv_pos_as_xyz
'x,y,z'
'-x,-y,-z'
'-x,-y,z'
'x,y,-z'
'x,-y,-z'
'-x,y,z'
'-x,y,-z'
'x,-y,z'
loop_
_atom_site_label
_atom_site_fract_x
_atom_site_fract_y
_atom_site_fract_z
La1 0.000 0.000 0.000
Pu1 0.500 0.500 0.500
Hg1 0.000 0.500 0.247
Hg2 0.500 0.000 0.289
Hg3 0.500 0.500 0.000
# density of states at the Fermi level	2.3931	states/eV/atom
# theoretical density	11.6	Mg/m³
# formation energy from the elements	-0.176	eV/atom

# CaNd2HoSb4 | Alexandria | PBE | relaxed
data_CaNd2HoSb4
_chemical_formula_sum 'Ca1 Nd2 Ho1 Sb4'
_symmetry_space_group_name_H-M 'P 1 2/m 1'
_symmetry_Int_Tables_number 10
_cell_length_a 7.735
_cell_length_b 4.478
_cell_length_c 7.823
_cell_angle_alpha 90.00
_cell_angle_beta 109.39
_cell_angle_gamma 90.00
loop_
_symmetry_equiv_pos_as_xyz
'x,y,z'
'-x,-y,-z'
'-x,y,-z'
'x,-y,z'
loop_
_atom_site_label
_atom_site_fract_x
_atom_site_fract_y
_atom_site_fract_z
Ca1 0.000 0.000 0.000
Nd1 0.500 0.000 0.500
Nd2 0.500 0.500 0.000
Ho1 0.000 0.500 0.500
Sb1 0.243 0.000 0.743
Sb2 0.247 0.500 0.254
# VASP energy	-5.124	eV per atom
# density of states at the Fermi level	0.5239	states/eV/atom
# theoretical density	6.4	Mg/m³

# NaHgIO2 | Alexandria | PBE | relaxed
data_NaHgIO2
_chemical_formula_sum 'Na1 Hg1 I1 O2'
_symmetry_space_group_name_H-M 'P 4/m m m'
_symmetry_Int_Tables_number 123
_symmetry_space_group_name_Hall '-P 4 2'
_cell_length_a 4.309
_cell_length_b 4.309
_cell_length_c 6.536
_cell_angle_alpha 90.00
_cell_angle_beta 90.00
_cell_angle_gamma 90.00
loop_
_atom_site_label
_atom_site_fract_x
_atom_site_fract_y
_atom_site_fract_z
Na1 0.000 0.000 0.000
Hg1 0.500 0.500 0.500
I1 0.500 0.500 0.000
O1 0.000 0.500 0.500
# polymorph energy (0 for the lowest one)	0	meV/atom
# density of states at the Fermi level	1.1824	states/eV/atom
# theoretical density	5.2	Mg/m³